1.
## TaMnPS2 (SCAN)

Data for a PBEsol-optimized structure of TaMnPS2.

The structure in CIF format:
```
data_TaMnPS2
_space_group_name_H-M_alt 'P 1'
_space_group_IT_number 1
_space_group_name_Hall 'P 1'
_cell_length_a 4.6622
_cell_length_b 4.6622
_cell_length_c 4.9294
_cell_angle_alpha 90.00
_cell_angle_beta 90.00
_cell_angle_gamma 90.00
loop_
_atom_site_label
_atom_site_fract_x
_atom_site_fract_y
_atom_site_fract_z
Mn1 0.5000 0.5000 0.5000
S1 0.0000 0.5000 0.0000
S2 0.5000 0.0000 0.0000
P1 0.0000 0.0000 0.5000
Ta1 0.0000 0.0000 0.0000
```

The value obtained for the uncorrected formation energy is -0.104 eV/atom. Its total magnetic moment is 5.1 μB per formula unit.


2.
## TaInCu2 (SCAN)

Data for a PBEsol-optimized structure of TaInCu2.

The structure in CIF format:
```
data_TaInCu2
_space_group_name_H-M_alt 'P 1'
_space_group_IT_number 1
_space_group_name_Hall 'P 1'
_cell_length_a 2.7769
_cell_length_b 4.1211
_cell_length_c 5.5429
_cell_angle_alpha 90.00
_cell_angle_beta 97.04
_cell_angle_gamma 90.00
loop_
_atom_site_label
_atom_site_fract_x
_atom_site_fract_y
_atom_site_fract_z
Cu1 0.4054 0.0000 0.2814
Cu2 0.5946 0.0000 0.7186
In1 0.5000 0.5000 0.0000
Ta1 0.0000 0.5000 0.5000
```

The energy is -1.192 hartree per atom. Its total magnetic moment is 0.0 μB per formula unit.


3.
## RbMn3Cr (SCAN)

Data for a PBEsol-optimized structure of RbMn3Cr.

The structure in CIF format:
```
data_RbMn3Cr
_space_group_name_H-M_alt 'P 1'
_space_group_IT_number 1
_space_group_name_Hall 'P 1'
_cell_length_a 4.7205
_cell_length_b 4.7205
_cell_length_c 4.7205
_cell_angle_alpha 90.00
_cell_angle_beta 90.00
_cell_angle_gamma 90.00
loop_
_atom_site_label
_atom_site_fract_x
_atom_site_fract_y
_atom_site_fract_z
Cr1 0.0000 0.0000 0.0000
Rb1 0.5000 0.5000 0.5000
Mn1 0.0000 0.5000 0.0000
Mn2 0.5000 0.0000 0.0000
Mn3 0.0000 0.0000 0.5000
```

The energy is -0.664 hartree per atom. Its total magnetic moment is 9.8 μB per formula unit.